VASP calculation (PBE) on crystalline PmTiGa5Ni2 at its relaxed geometry.

Values from the calculation:
energy relative to the elements: -0.2756 eV/atom
DOS at the Fermi energy: 4.843 states/eV per cell
uncorrected energy: -4.647 eV per atom

Unit cell a=4.6395 b=4.6395 c=7.2489 alpha=90.00 beta=90.00 gamma=90.00
Closest atoms and distances in Å follow each position.
Element x y z (fractional)
Pm 0.0000 0.0000 0.0000  12 Ga 3.16-3.28
Ti 0.0000 0.0000 0.5000  8 Ga 2.75
Ga 0.0000 0.5000 0.2954  2 Ni 2.33
Ga 0.0000 0.5000 0.7046  2 Ni 2.33
Ga 0.5000 0.0000 0.2954  2 Ni 2.33
Ga 0.5000 0.0000 0.7046  2 Ni 2.33
Ga 0.5000 0.5000 0.0000  2 Ni 2.41
Ni 0.5000 0.5000 0.3320  5 Ga 2.33-2.41, 1 Ni 2.44
Ni 0.5000 0.5000 0.6680  5 Ga 2.33-2.41, 1 Ni 2.44


VASP calculation (PBE) on crystalline LuScAlHg at its relaxed geometry.

Values from the calculation:
energy relative to the elements: -0.3797 eV/atom
DOS at the Fermi energy: 15.042 states/eV per cell
uncorrected energy: -4.104 eV per atom

Unit cell a=7.0733 b=7.0733 c=7.0733 alpha=90.00 beta=90.00 gamma=90.00
Closest atoms and distances in Å follow each position.
Element x y z (fractional)
Lu 0.0000 0.0000 0.0000  4 Hg 3.06, 4 Al 3.06
Lu 0.0000 0.5000 0.5000  4 Hg 3.06, 4 Al 3.06
Lu 0.5000 0.0000 0.5000  4 Hg 3.06, 4 Al 3.06
Lu 0.5000 0.5000 0.0000  4 Hg 3.06, 4 Al 3.06
Sc 0.0000 0.0000 0.5000  4 Hg 3.06, 4 Al 3.06
Sc 0.0000 0.5000 0.0000  4 Hg 3.06, 4 Al 3.06
Sc 0.5000 0.0000 0.0000  4 Hg 3.06, 4 Al 3.06
Sc 0.5000 0.5000 0.5000  4 Hg 3.06, 4 Al 3.06
Al 0.2500 0.2500 0.2500  4 Sc 3.06, 4 Lu 3.06
Al 0.2500 0.7500 0.7500  4 Sc 3.06, 4 Lu 3.06
Al 0.7500 0.2500 0.7500  4 Sc 3.06, 4 Lu 3.06
Al 0.7500 0.7500 0.2500  4 Sc 3.06, 4 Lu 3.06
Hg 0.2500 0.2500 0.7500  4 Sc 3.06, 4 Lu 3.06
Hg 0.2500 0.7500 0.2500  4 Sc 3.06, 4 Lu 3.06
Hg 0.7500 0.2500 0.2500  4 Sc 3.06, 4 Lu 3.06
Hg 0.7500 0.7500 0.7500  4 Sc 3.06, 4 Lu 3.06


VASP calculation (PBE) on crystalline CuBPt2Au at its relaxed geometry.

Values from the calculation:
energy relative to the elements: -0.0250 eV/atom
DOS at the Fermi energy: 1.438 states/eV per cell
uncorrected energy: -5.252 eV per atom

Unit cell a=4.1397 b=4.1397 c=4.2118 alpha=90.00 beta=90.00 gamma=90.00
Closest atoms and distances in Å follow each position.
Element x y z (fractional)
Cu 0.0000 0.0000 0.0000  2 B 2.11
B 0.0000 0.0000 0.5000  4 Pt 2.07, 2 Cu 2.11
Pt 0.0000 0.5000 0.5000  2 B 2.07
Pt 0.5000 0.0000 0.5000  2 B 2.07
Au 0.5000 0.5000 0.0000  4 Cu 2.93, 8 Pt 2.95


VASP calculation (PBE) on crystalline MgUHg2 at its relaxed geometry.

Values from the calculation:
energy relative to the elements: 0.0302 eV/atom
DOS at the Fermi energy: 5.833 states/eV per cell
uncorrected energy: -3.341 eV per atom

Unit cell a=3.2667 b=3.2667 c=8.4445 alpha=90.00 beta=90.00 gamma=90.00
Closest atoms and distances in Å follow each position.
Element x y z (fractional)
Mg 0.0000 0.0000 0.0000  8 Hg 2.99, 4 Mg 3.27
U 0.0000 0.0000 0.5000  4 U 3.27, 8 Hg 3.27
Hg 0.5000 0.5000 0.2252  4 Mg 2.99, 4 Hg 3.27, 4 U 3.27
Hg 0.5000 0.5000 0.7748  4 Mg 2.99, 4 Hg 3.27, 4 U 3.27


VASP calculation (PBE) on crystalline Li5In6Ir at its relaxed geometry.

Values from the calculation:
energy relative to the elements: -0.2590 eV/atom
DOS at the Fermi energy: 3.210 states/eV per cell
uncorrected energy: -3.164 eV per atom

Unit cell a=4.6853 b=6.7294 c=7.3763 alpha=90.00 beta=108.08 gamma=90.00
Closest atoms and distances in Å follow each position.
Element x y z (fractional)
Li 0.0000 0.0000 0.0000  8 In 2.87-2.89
Li 0.3251 0.0000 0.6506  8 In 2.82-2.96, 1 Li 3.14
Li 0.3411 0.5000 0.6831  8 In 2.80-2.96
Li 0.6589 0.5000 0.3169  8 In 2.80-2.96
Li 0.6749 0.0000 0.3494  8 In 2.82-2.96, 1 Li 3.14
In 0.1660 0.2550 0.3322  7 Li 2.82-2.96, 1 Ir 2.85
In 0.1660 0.7450 0.3322  7 Li 2.82-2.96, 1 Ir 2.85
In 0.5000 0.2463 0.0000  6 Li 2.80-2.96, 2 Ir 2.90
In 0.5000 0.7537 0.0000  6 Li 2.80-2.96, 2 Ir 2.90
In 0.8340 0.2550 0.6678  7 Li 2.82-2.96, 1 Ir 2.85
In 0.8340 0.7450 0.6678  7 Li 2.82-2.96, 1 Ir 2.85
Ir 0.0000 0.5000 0.0000  8 In 2.85-2.90


VASP calculation (PBE) on crystalline Th3Mg3Zn8 at its relaxed geometry.

Values from the calculation:
energy relative to the elements: -0.2432 eV/atom
DOS at the Fermi energy: 7.925 states/eV per cell
uncorrected energy: -2.903 eV per atom

Unit cell a=8.5694 b=8.5694 c=8.5694 alpha=149.32 beta=115.22 gamma=73.38
Closest atoms and distances in Å follow each position.
Element x y z (fractional)
Th 0.0000 0.0000 0.0000  12 Zn 3.23-3.40, 4 Mg 3.56
Th 0.2909 0.2909 0.0000  12 Zn 3.15-3.40, 2 Mg 3.42
Th 0.7091 0.7091 0.0000  12 Zn 3.15-3.40, 2 Mg 3.42
Mg 0.2991 0.5000 0.7991  2 Zn 2.66, 2 Mg 2.92
Mg 0.5000 0.0000 0.5000  4 Zn 2.90, 4 Mg 2.92
Mg 0.7009 0.5000 0.2009  2 Zn 2.66, 2 Mg 2.92
Zn 0.0242 0.6606 0.3636  4 Zn 2.50-2.76, 1 Mg 2.66
Zn 0.1269 0.8527 0.2742  3 Zn 2.60-2.76, 1 Mg 2.90
Zn 0.2970 0.6606 0.6364  4 Zn 2.50-2.76, 1 Mg 2.66
Zn 0.4215 0.1473 0.2742  3 Zn 2.60-2.76, 1 Mg 2.90
Zn 0.5785 0.8527 0.7258  3 Zn 2.60-2.76, 1 Mg 2.90
Zn 0.7030 0.3394 0.3636  4 Zn 2.50-2.76, 1 Mg 2.66
Zn 0.8731 0.1473 0.7258  3 Zn 2.60-2.76, 1 Mg 2.90
Zn 0.9758 0.3394 0.6364  4 Zn 2.50-2.76, 1 Mg 2.66


VASP calculation (PBE) on crystalline CrFePt2 at its relaxed geometry.

Values from the calculation:
energy relative to the elements: -0.0436 eV/atom
DOS at the Fermi energy: 12.364 states/eV per cell
uncorrected energy: -7.586 eV per atom

Unit cell a=2.7061 b=2.7061 c=26.2539 alpha=90.00 beta=90.00 gamma=120.00
Closest atoms and distances in Å follow each position.
Element x y z (fractional)
Cr 0.0000 0.0000 0.0000  3 Fe 2.48, 3 Pt 2.67, 6 Cr 2.71
Cr 0.3333 0.6667 0.6667  3 Fe 2.48, 3 Pt 2.67, 6 Cr 2.71
Cr 0.6667 0.3333 0.3333  3 Fe 2.48, 3 Pt 2.67, 6 Cr 2.71
Fe 0.0000 0.0000 0.7402  3 Cr 2.48, 3 Pt 2.66, 6 Fe 2.71
Fe 0.3333 0.6667 0.4069  3 Cr 2.48, 3 Pt 2.66, 6 Fe 2.71
Fe 0.6667 0.3333 0.0736  3 Cr 2.48, 3 Pt 2.66, 6 Fe 2.71
Pt 0.0000 0.0000 0.2506  3 Cr 2.67, 9 Pt 2.71-2.94
Pt 0.0000 0.0000 0.4889  3 Fe 2.66, 9 Pt 2.71-2.94
Pt 0.3333 0.6667 0.1556  3 Fe 2.66, 9 Pt 2.71-2.94
Pt 0.3333 0.6667 0.9173  3 Cr 2.67, 9 Pt 2.71-2.94
Pt 0.6667 0.3333 0.5840  3 Cr 2.67, 9 Pt 2.71-2.94
Pt 0.6667 0.3333 0.8223  3 Fe 2.66, 9 Pt 2.71-2.94


VASP calculation (PBE) on crystalline AcDy2Cd3 at its relaxed geometry.

Values from the calculation:
energy relative to the elements: -0.2937 eV/atom
DOS at the Fermi energy: 6.985 states/eV per cell
uncorrected energy: -2.970 eV per atom

Unit cell a=3.8308 b=3.8308 c=11.6905 alpha=90.00 beta=90.00 gamma=90.00
Closest atoms and distances in Å follow each position.
Element x y z (fractional)
Ac 0.0000 0.0000 0.0000  8 Cd 3.55, 4 Ac 3.83
Dy 0.0000 0.0000 0.3440  8 Cd 3.22-3.27
Dy 0.0000 0.0000 0.6560  8 Cd 3.22-3.27
Cd 0.5000 0.5000 0.1957  4 Dy 3.22, 4 Ac 3.55, 1 Cd 3.56
Cd 0.5000 0.5000 0.5000  8 Dy 3.27, 2 Cd 3.56
Cd 0.5000 0.5000 0.8043  4 Dy 3.22, 4 Ac 3.55, 1 Cd 3.56


> Look up the uncorrected energy of the fifth one.

-3.164 eV per atom